Density functional theory data (GGA-PBEsol) for a relaxed ZnCdTe2 crystal.

extended XYZ file:
```
4
Lattice="4.427 0.000 0.000 2.213 3.834 0.000 2.213 1.278 7.287" Properties=species:S:1:pos:R:3 pbc="T T T"
Cd 6.640 3.834 0.037
Te 4.427 2.556 6.253
Te 6.640 3.834 2.833
Zn 4.427 2.556 3.629
```

## Properties
Formation energy without anion corrections   -0.374 eV/atom
M_tot   0.00 μB/f.u.

***

Density functional theory data (GGA-PBEsol) for a relaxed ZnCdTe2 crystal.

extended XYZ file:
```
4
Lattice="3.863 0.000 0.000 0.000 3.979 0.000 -1.931 -1.989 6.516" Properties=species:S:1:pos:R:3 pbc="T T T"
Zn 0.000 0.000 6.010
Te 1.931 0.000 3.898
Cd 0.000 1.989 2.688
Te 0.000 0.000 0.435
```

## Properties
Formation energy without anion corrections   -0.027 eV/atom
M_tot   0.00 μB/f.u.

***

Density functional theory data (GGA-PBEsol) for a relaxed Zn2CdTe2 crystal.

extended XYZ file:
```
5
Lattice="-3.900 1.595 -3.339 -1.393 -2.593 4.717 -2.235 2.852 3.972" Properties=species:S:1:pos:R:3 pbc="T T T"
Cd 0.000 0.000 0.000
Zn -3.743 1.246 0.639
Te -2.230 -0.185 2.517
Te -5.298 2.039 2.833
Zn -3.785 0.609 4.711
```

## Properties
Formation energy without anion corrections   0.033 eV/atom
M_tot   0.00 μB/f.u.